Arrangement a

The following is a DFT calculation (PBE-GGA) of a relaxed NaSr2 crystal.

Values from the calculation:
Fermi-level density of states	3.21	states/eV/f.u.

Geometry as POSCAR:
```
NaSr2
1.0
-2.046 2.046 17.977
2.046 -2.046 17.977
2.046 2.046 -17.977
Na Sr
2 4
Cartesian
2.046 1.023 4.494 Na
0.000 1.023 13.483 Na
2.046 -1.023 10.794 Sr
2.046 -1.023 16.171 Sr
0.000 3.069 1.806 Sr
0.000 3.069 7.183 Sr
```

Arrangement b

The following is a DFT calculation (PBE-GGA) of a relaxed NaSr2 crystal.

Values from the calculation:
Fermi-level density of states	1.90	states/eV/f.u.

Geometry as POSCAR:
```
NaSr2
1.0
7.166 -2.211 0.000
7.166 2.211 0.000
-3.458 0.000 9.270
Na Sr
2 4
Cartesian
2.397 0.000 0.634 Na
8.477 0.000 8.636 Na
0.281 0.000 5.546 Sr
4.258 0.000 7.206 Sr
6.616 0.000 2.064 Sr
10.593 0.000 3.724 Sr
```

Which structure loses on stability? arrangement a does.

Arrangement a

The following is a DFT calculation (PBE-GGA) of a relaxed NaSr2 crystal.

Values from the calculation:
Fermi-level density of states	2.54	states/eV/f.u.

Geometry as POSCAR:
```
NaSr2
1.0
0.000 5.586 5.586
5.586 0.000 5.586
5.586 5.586 0.000
Na Sr
2 4
Cartesian
1.396 1.396 1.396 Na
9.775 9.775 9.775 Na
5.586 2.793 2.793 Sr
2.793 5.586 2.793 Sr
2.793 2.793 5.586 Sr
5.586 5.586 5.586 Sr
```

Arrangement b

The following is a DFT calculation (PBE-GGA) of a relaxed NaSr2 crystal.

Values from the calculation:
Fermi-level density of states	2.30	states/eV/f.u.

Geometry as POSCAR:
```
NaSr2
1.0
3.142 -3.142 0.000
3.142 3.142 0.000
-3.119 0.000 7.437
Na Sr
1 2
Cartesian
0.000 0.000 0.000 Na
0.016 0.000 5.145 Sr
3.150 0.000 2.292 Sr
```

Which structure loses on stability? arrangement a does.

Arrangement a

The following is a DFT calculation (PBE-GGA) of a relaxed Na2Sr3 crystal.

Values from the calculation:
Fermi-level density of states	5.00	states/eV/f.u.

Geometry as POSCAR:
```
Na2Sr3
1.0
-5.029 7.177 3.746
5.029 -7.177 3.746
5.029 7.177 -3.746
Na Sr
4 6
Cartesian
2.357 2.337 0.000 Na
2.357 -2.337 3.746 Na
2.673 9.514 0.000 Na
2.673 4.840 3.746 Na
8.640 1.379 0.000 Sr
5.029 0.000 1.873 Sr
3.611 5.797 0.000 Sr
1.418 1.379 3.746 Sr
0.000 7.177 1.873 Sr
-3.611 5.797 3.746 Sr
```

Arrangement b

The following is a DFT calculation (PBE-GGA) of a relaxed Na2Sr3 crystal.

Values from the calculation:
Fermi-level density of states	3.82	states/eV/f.u.

Geometry as POSCAR:
```
Na2Sr3
1.0
5.659 3.267 4.308
-5.659 3.267 4.308
0.000 -6.534 4.308
Na Sr
4 6
Cartesian
0.000 0.000 1.607 Na
0.000 0.000 4.856 Na
0.000 0.000 8.070 Na
0.000 0.000 11.318 Na
-3.797 -0.043 5.386 Sr
-1.862 -3.310 7.540 Sr
1.936 -3.267 5.386 Sr
-1.936 3.267 7.540 Sr
1.862 3.310 5.386 Sr
3.797 0.043 7.540 Sr
```

Which structure loses on stability? arrangement a does.